The following is a DFT calculation (PBE) of Cd8HgBi2 after structural relaxation.

Values from the calculation:
N(E_F) ... 3.872 states/eV/cell
E_tot ... -1.35 eV/atom
Energy of formation from the pure elements ... 44 meV/atom
Mass density ... 9.101 g/cm³

CIF file:
```
data_Cd8HgBi2
_cell_length_a 8.343
_cell_length_b 8.343
_cell_length_c 7.585
_cell_angle_alpha 101.10
_cell_angle_beta 101.10
_cell_angle_gamma 32.37
_space_group_name_H-M_alt 'P 1'
_space_group_IT_number 1
_space_group_name_Hall 'P 1'
loop_
_atom_site_label
_atom_site_fract_x
_atom_site_fract_y
_atom_site_fract_z
Cd1 0.034 0.034 0.219
Cd2 0.133 0.133 0.665
Cd3 0.326 0.326 0.592
Cd4 0.412 0.412 0.044
Cd5 0.588 0.588 0.956
Cd6 0.674 0.674 0.408
Cd7 0.867 0.867 0.335
Cd8 0.966 0.966 0.781
Hg1 0.500 0.500 0.500
Bi1 0.228 0.228 0.168
Bi2 0.772 0.772 0.832
```

=====

The following is a DFT calculation (PBE) of NdDy4Mg after structural relaxation.

Values from the calculation:
N(E_F) ... 8.243 states/eV/cell
E_tot ... -4.09 eV/atom
Energy of formation from the pure elements ... 36 meV/atom
Mass density ... 7.363 g/cm³

CIF file:
```
data_NdDy4Mg
_cell_length_a 6.116
_cell_length_b 6.116
_cell_length_c 6.082
_cell_angle_alpha 99.71
_cell_angle_beta 99.71
_cell_angle_gamma 120.39
_space_group_name_H-M_alt 'P 1'
_space_group_IT_number 1
_space_group_name_Hall 'P 1'
loop_
_atom_site_label
_atom_site_fract_x
_atom_site_fract_y
_atom_site_fract_z
Nd1 0.000 0.000 0.000
Dy1 0.167 0.833 0.500
Dy2 0.334 0.666 0.000
Dy3 0.666 0.334 0.000
Dy4 0.833 0.167 0.500
Mg1 0.500 0.500 0.500
```

=====

The following is a DFT calculation (PBE) of BaHo5 after structural relaxation.

Values from the calculation:
N(E_F) ... 10.451 states/eV/cell
E_tot ... -3.92 eV/atom
Energy of formation from the pure elements ... 216 meV/atom
Mass density ... 7.705 g/cm³

CIF file:
```
data_BaHo5
_cell_length_a 9.746
_cell_length_b 9.746
_cell_length_c 3.749
_cell_angle_alpha 90.00
_cell_angle_beta 90.00
_cell_angle_gamma 144.39
_space_group_name_H-M_alt 'P 1'
_space_group_IT_number 1
_space_group_name_Hall 'P 1'
loop_
_atom_site_label
_atom_site_fract_x
_atom_site_fract_y
_atom_site_fract_z
Ba1 0.000 0.000 0.000
Ho1 0.190 0.810 0.500
Ho2 0.347 0.653 0.000
Ho3 0.500 0.500 0.500
Ho4 0.653 0.347 0.000
Ho5 0.810 0.190 0.500
```

=====

The following is a DFT calculation (PBE) of Pu2Cd17 after structural relaxation.

Values from the calculation:
N(E_F) ... 34.213 states/eV/cell
E_tot ... -2.36 eV/atom
Energy of formation from the pure elements ... -29 meV/atom
Mass density ... 8.966 g/cm³

CIF file:
```
data_Pu2Cd17
_cell_length_a 7.700
_cell_length_b 7.700
_cell_length_c 7.700
_cell_angle_alpha 81.98
_cell_angle_beta 81.98
_cell_angle_gamma 81.98
_space_group_name_H-M_alt 'P 1'
_space_group_IT_number 1
_space_group_name_Hall 'P 1'
loop_
_atom_site_label
_atom_site_fract_x
_atom_site_fract_y
_atom_site_fract_z
Pu1 0.169 0.169 0.169
Pu2 0.831 0.831 0.831
Cd1 0.000 0.500 0.500
Cd2 0.139 0.139 0.661
Cd3 0.139 0.661 0.139
Cd4 0.199 0.500 0.801
Cd5 0.199 0.801 0.500
Cd6 0.339 0.861 0.861
Cd7 0.398 0.398 0.398
Cd8 0.500 0.000 0.500
Cd9 0.500 0.199 0.801
Cd10 0.500 0.500 0.000
Cd11 0.500 0.801 0.199
Cd12 0.602 0.602 0.602
Cd13 0.661 0.139 0.139
Cd14 0.801 0.199 0.500
Cd15 0.801 0.500 0.199
Cd16 0.861 0.339 0.861
Cd17 0.861 0.861 0.339
```

=====

The following is a DFT calculation (PBE) of BaLiHo2Te4 after structural relaxation.

Values from the calculation:
N(E_F) ... 4.879 states/eV/cell
E_tot ... -4.59 eV/atom
Formation energy (no corrections) ... -134 kJ/mol of atoms
Mass density ... 6.381 g/cm³

CIF file:
```
data_BaLiHo2Te4
_cell_length_a 7.727
_cell_length_b 7.727
_cell_length_c 15.345
_cell_angle_alpha 90.00
_cell_angle_beta 90.00
_cell_angle_gamma 146.00
_space_group_name_H-M_alt 'P 1'
_space_group_IT_number 1
_space_group_name_Hall 'P 1'
loop_
_atom_site_label
_atom_site_fract_x
_atom_site_fract_y
_atom_site_fract_z
Ba1 0.123 0.877 0.750
Ba2 0.877 0.123 0.250
Li1 0.152 0.848 0.250
Li2 0.848 0.152 0.750
Ho1 0.374 0.626 0.559
Ho2 0.374 0.626 0.941
Ho3 0.626 0.374 0.059
Ho4 0.626 0.374 0.441
Te1 0.000 0.000 0.000
Te2 0.000 0.000 0.500
Te3 0.266 0.734 0.112
Te4 0.266 0.734 0.388
Te5 0.445 0.555 0.750
Te6 0.555 0.445 0.250
Te7 0.734 0.266 0.612
Te8 0.734 0.266 0.888
```

=====

The following is a DFT calculation (PBE) of AlTc2Hg after structural relaxation.

Values from the calculation:
N(E_F) ... 1.732 states/eV/cell
E_tot ... -6.08 eV/atom
Energy of formation from the pure elements ... 116 meV/atom
Mass density ... 10.624 g/cm³

CIF file:
```
data_AlTc2Hg
_cell_length_a 9.443
_cell_length_b 9.443
_cell_length_c 9.443
_cell_angle_alpha 17.47
_cell_angle_beta 17.47
_cell_angle_gamma 17.47
_space_group_name_H-M_alt 'P 1'
_space_group_IT_number 1
_space_group_name_Hall 'P 1'
loop_
_atom_site_label
_atom_site_fract_x
_atom_site_fract_y
_atom_site_fract_z
Al1 0.000 0.000 0.000
Tc1 0.258 0.258 0.258
Tc2 0.519 0.519 0.519
Hg1 0.760 0.760 0.760
```